CaInFe2: optimized geometry, PBE.

Values from the calculation:
Calculated density (Mg/m³): 5.2
E (eV per atom): -5.1727
Calculated volume (Å³ per cell): 85.6
Total moment (μB per formula unit): 4.42
Space group: C2/m (12)
Energy relative to the elements (eV per atom): 0.2437

Geometry as extended XYZ:
```
4
Lattice="-1.675 -4.089 -0.691 2.386 -3.599 1.163 -1.815 -2.513 4.639" Properties=species:S:1:pos:R:3 pbc="T T T"
Ca -0.827 -7.651 3.834
Fe -0.189 -5.116 1.765
In -0.276 -2.550 1.278
Fe 0.349 -7.674 1.263
```

---

BaNi2Pt2: optimized geometry, PBE.

Values from the calculation:
Calculated density (Mg/m³): 12.1
E (eV per atom): -5.1142
Calculated volume (Å³ per cell): 176.4
Total moment (μB per formula unit): 1.18
Space group: P4/mbm (127)
Energy relative to the elements (eV per atom): -0.0008

Geometry as extended XYZ:
```
10
Lattice="7.792 0.000 0.000 0.000 7.792 0.000 0.000 0.000 2.905" Properties=species:S:1:pos:R:3 pbc="T T T"
Ba 0.000 0.000 0.000
Pt 2.554 1.342 1.453
Pt 1.342 5.239 1.453
Ni 4.807 0.911 0.000
Ni 2.985 6.882 0.000
Ni 0.911 2.985 0.000
Ba 3.896 3.896 0.000
Pt 6.450 2.554 1.453
Ni 6.882 4.807 0.000
Pt 5.239 6.450 1.453
```

---

KCd7Ga5: optimized geometry, PBE.

Values from the calculation:
Calculated density (Mg/m³): 6.6
E (eV per atom): -1.7527
Calculated volume (Å³ per cell): 295.5
Total moment (μB per formula unit): 0.00
Space group: Imm2 (44)
Energy relative to the elements (eV per atom): -0.0113

Geometry as extended XYZ:
```
13
Lattice="5.266 0.000 2.163 2.623 7.205 1.106 -0.104 0.049 7.746" Properties=species:S:1:pos:R:3 pbc="T T T"
Ga 5.192 7.214 6.099
Ga 6.475 3.692 10.446
Cd 4.677 5.700 3.598
Cd 2.036 1.576 2.534
Cd 4.295 2.565 4.528
Cd 3.103 1.570 7.430
Ga 7.818 7.214 7.177
K 2.527 7.233 8.832
Cd 3.480 4.717 6.512
Ga 3.850 3.692 9.367
Ga 5.772 5.616 8.423
Cd 1.666 4.688 3.436
Cd 0.855 2.561 5.410
```

---

KAlS2O8: optimized geometry, PBE.

Values from the calculation:
Calculated density (Mg/m³): 2.5
E (eV per atom): -6.2579
Formation energy without anion corrections (eV per atom): -1.86
Calculated volume (Å³ per cell): 172.1
Total moment (μB per formula unit): 0.00
Space group: P-3m1 (164)

Geometry as extended XYZ:
```
12
Lattice="-1.810 -2.702 -3.818 4.952 0.286 0.744 -0.332 -6.368 4.664" Properties=species:S:1:pos:R:3 pbc="T T T"
O -0.858 -6.294 -0.024
O 2.662 -1.394 -0.276
Al -0.166 -3.184 2.332
K 0.000 0.000 0.000
O 2.794 -3.794 -0.230
O 0.015 -4.990 1.819
S 0.209 -6.216 1.005
O 0.147 -7.390 1.865
O 1.278 -2.628 1.254
O 1.532 -6.155 0.336
O 3.668 -2.490 1.613
S 2.601 -2.568 0.584
```

---

La14TbNd: optimized geometry, PBE.

Values from the calculation:
Calculated density (Mg/m³): 6.4
E (eV per atom): -4.8209
Calculated volume (Å³ per cell): 580.3
Total moment (μB per formula unit): 0.00
Space group: Amm2 (38)
Energy relative to the elements (eV per atom): 0.0780

Geometry as extended XYZ:
```
16
Lattice="-4.995 4.061 -3.144 -5.912 -3.925 -0.984 -4.023 3.368 10.741" Properties=species:S:1:pos:R:3 pbc="T T T"
La -5.448 1.690 7.374
La -8.399 3.528 5.833
La -6.747 -1.638 1.298
Tb -5.085 3.275 -2.932
La -3.457 0.023 2.058
La -7.800 0.975 -3.228
La -5.047 2.564 3.958
La -8.768 0.053 6.692
La -2.906 0.915 -1.375
La -6.323 1.790 0.289
La -7.644 0.199 3.727
Nd -5.611 -1.300 -1.694
La -7.123 4.729 2.501
La -9.679 0.101 -0.297
La -11.670 1.767 5.019
La -9.690 2.621 2.201
```

---

PrEuTlPb: optimized geometry, PBE.

Values from the calculation:
Calculated density (Mg/m³): 9.3
E (eV per atom): -5.7319
Calculated volume (Å³ per cell): 125.1
Total moment (μB per formula unit): 7.31
Space group: F-43m (216)
Energy relative to the elements (eV per atom): -0.4498

Geometry as extended XYZ:
```
4
Lattice="-4.288 -0.928 -3.503 -4.407 -3.035 1.700 -4.948 2.495 0.897" Properties=species:S:1:pos:R:3 pbc="T T T"
Tl 0.000 0.000 0.000
Pb -6.821 -0.734 -0.453
Eu -3.411 -0.367 -0.227
Pr -10.232 -1.101 -0.680
```

---

Ca2ScCu9: optimized geometry, PBE.

Values from the calculation:
Calculated density (Mg/m³): 6.1
E (eV per atom): -4.0438
Calculated volume (Å³ per cell): 188.8
Total moment (μB per formula unit): 0.00
Space group: R-3m (166)
Energy relative to the elements (eV per atom): -0.1104

Geometry as extended XYZ:
```
12
Lattice="5.074 0.000 0.000 2.537 4.395 0.000 2.537 1.465 8.468" Properties=species:S:1:pos:R:3 pbc="T T T"
Cu 6.336 3.658 6.445
Ca 2.537 1.465 4.935
Cu 7.612 4.395 8.443
Sc 0.000 0.000 0.000
Ca 7.612 4.395 3.534
Cu 2.537 1.465 0.025
Cu 5.074 4.387 2.024
Cu 3.813 2.201 2.024
Cu 5.074 2.930 4.234
Cu 6.336 2.201 2.024
Cu 5.074 1.473 6.445
Cu 3.813 3.658 6.445
```

---

LaCd2Ir: optimized geometry, PBE.

Values from the calculation:
Calculated density (Mg/m³): 9.5
E (eV per atom): -4.0491
Calculated volume (Å³ per cell): 193.5
Total moment (μB per formula unit): 0.00
Space group: I-42d (122)
Energy relative to the elements (eV per atom): -0.1445

Geometry as extended XYZ:
```
8
Lattice="4.139 0.000 0.000 0.000 4.139 0.000 2.070 2.070 11.295" Properties=species:S:1:pos:R:3 pbc="T T T"
Ir 0.000 0.000 0.000
Cd 0.938 3.104 2.824
Cd 3.201 1.035 2.824
Ir 4.139 2.070 5.647
Cd 3.104 3.008 8.471
Cd 5.174 5.270 8.471
La 2.070 2.070 0.000
La 2.070 4.139 5.647
```

---

PuCdIrPd: optimized geometry, PBE.

Values from the calculation:
Calculated density (Mg/m³): 14.2
E (eV per atom): -7.6155
Calculated volume (Å³ per cell): 76.8
Total moment (μB per formula unit): 4.77
Space group: F-43m (216)
Energy relative to the elements (eV per atom): -0.2903

Geometry as extended XYZ:
```
4
Lattice="-1.682 -4.442 0.441 -0.928 -2.597 -3.893 2.774 -3.721 -1.102" Properties=species:S:1:pos:R:3 pbc="T T T"
Cd 0.000 0.000 0.000
Pd 0.122 -8.070 -3.415
Pu 0.082 -5.380 -2.277
Ir 0.041 -2.690 -1.138
```

---

CaAsPbAu: optimized geometry, PBE.

Values from the calculation:
Calculated density (Mg/m³): 8.7
E (eV per atom): -3.8677
Calculated volume (Å³ per cell): 99.1
Total moment (μB per formula unit): 0.00
Space group: F-43m (216)
Energy relative to the elements (eV per atom): -0.4585

Geometry as extended XYZ:
```
4
Lattice="5.195 0.000 0.000 2.598 4.499 0.000 2.598 1.500 4.242" Properties=species:S:1:pos:R:3 pbc="T T T"
As 5.195 2.999 2.121
Pb 2.598 1.500 1.060
Ca 7.793 4.499 3.181
Au 0.000 0.000 0.000
```

---

Li4ReSi: optimized geometry, PBE.

Values from the calculation:
Calculated density (Mg/m³): 5.5
E (eV per atom): -3.8829
Formation energy without anion corrections (eV per atom): 0.37
Calculated volume (Å³ per cell): 72.9
Total moment (μB per formula unit): 0.64
Space group: F-43m (216)

Geometry as extended XYZ:
```
6
Lattice="-2.428 0.620 3.965 -4.687 0.116 -0.114 -2.478 -3.546 1.811" Properties=species:S:1:pos:R:3 pbc="T T T"
Li -3.601 -1.055 2.125
Li -4.836 -2.823 3.028
Si 0.000 0.000 0.000
Li -5.937 -0.997 2.068
Li -4.811 -0.746 4.102
Re -7.195 -2.108 4.246
```

---

CaP2RhS: optimized geometry, PBE.

Values from the calculation:
Calculated density (Mg/m³): 3.7
E (eV per atom): -5.1233
Formation energy without anion corrections (eV per atom): -0.26
Calculated volume (Å³ per cell): 107.2
Total moment (μB per formula unit): 0.00
Space group: P4/mmm (123)

Geometry as extended XYZ:
```
5
Lattice="-4.047 -0.978 -1.643 -0.455 -3.242 3.051 -2.221 3.500 3.388" Properties=species:S:1:pos:R:3 pbc="T T T"
P -0.228 -1.621 1.526
P -2.023 -0.489 -0.821
Ca -3.361 -0.360 2.398
Rh 0.000 0.000 0.000
S -1.111 1.750 1.694
```